DFT (PBE) results for ErCuRu after structural relaxation.

Cell: 6.1981 6.1981 6.1981 Å, 90.00 90.00 90.00°
Sites, in units of the cell vectors:
Ru: 0.6854 0.6854 0.6854
Ru: 0.8146 0.3146 0.1854
Ru: 0.1854 0.8146 0.3146
Ru: 0.3146 0.1854 0.8146
Er: 0.4167 0.4167 0.4167
Er: 0.0833 0.5833 0.9167
Er: 0.9167 0.0833 0.5833
Er: 0.5833 0.9167 0.0833
Cu: 0.0398 0.0398 0.0398
Cu: 0.4602 0.9602 0.5398
Cu: 0.5398 0.4602 0.9602
Cu: 0.9602 0.5398 0.4602

Calculated values
The formation energy is 140 meV/atom.